[1]
Computed, not measured: a relaxed LaNiSn2 crystal at the GGA-PBE level of DFT.

Cell lengths 4.532, 18.415, 4.586 Å; angles 90.00, 90.00, 90.00 degrees
Space group Cmcm (No. 63)
Unique sites:
1 La 0.000 0.110 0.250
2 Ni 0.000 0.318 0.250
3 Sn 0.000 0.251 0.750
4 Sn 0.000 0.453 0.250

Properties
Density of states at the Fermi level in states/eV per cell: 7.90
Energy of formation from the pure elements in eV per atom: -0.657

=====

[2]
Computed, not measured: a relaxed Dy2HoTmO6 crystal at the GGA-PBE level of DFT.

Cell lengths 5.7777, 5.7777, 15.1011 Å; angles 90.00, 90.00, 120.00 degrees
Space group R3 (No. 146, hexagonal axes)
Unique sites:
1 Dy 0.0000 0.0000 0.0000
2 Dy 0.0000 0.0000 0.4992
3 Ho 0.0000 0.0000 0.2168
4 Tm 0.0000 0.0000 0.7153
5 O 0.0432 0.3686 0.7759
6 O 0.0445 0.6712 0.2765

Properties
Density of states at the Fermi level in states/eV per cell: 0.00
Raw formation energy in eV/atom: -3.567

=====

[3]
Computed, not measured: a relaxed Li2TbY2In5 crystal at the GGA-PBE level of DFT.

Cell lengths 10.365, 10.365, 4.395 Å; angles 90.00, 90.00, 90.00 degrees
Space group P4/mbm (No. 127)
Unique sites:
1 Li 0.120 0.380 0.000
2 Tb 0.000 0.000 0.000
3 Y 0.174 0.674 0.000
4 In 0.000 0.500 0.500
5 In 0.075 0.213 0.500

Properties
Density of states at the Fermi level in states/eV per cell: 10.10
Energy of formation from the pure elements in eV per atom: -0.392

=====

[4]
Computed, not measured: a relaxed KCl crystal at the GGA-PBE level of DFT.

Cell lengths 3.833, 3.833, 3.833 Å; angles 90.00, 90.00, 90.00 degrees
Space group Pm-3m (No. 221)
Unique sites:
1 K 0.000 0.000 0.000
2 Cl 0.500 0.500 0.500

Properties
Density of states at the Fermi level in states/eV per cell: 0.00
Raw formation energy in eV/atom: -1.881

=====

[5]
Computed, not measured: a relaxed Ca2Ga4Pt3 crystal at the GGA-PBE level of DFT.

Cell lengths 5.590, 9.686, 12.888 Å; angles 90.00, 90.00, 90.00 degrees
Space group Fmmm (No. 69)
Unique sites:
1 Ca 0.000 0.000 0.127
2 Ga 0.000 0.173 0.338
3 Pt 0.000 0.000 0.500
4 Pt 0.250 0.250 0.000

Properties
Density of states at the Fermi level in states/eV per cell: 14.54
Energy of formation from the pure elements in eV per atom: -0.709

=====

[6]
Computed, not measured: a relaxed Nd9Tm4Tl11 crystal at the GGA-PBE level of DFT.

Cell lengths 17.990, 21.891, 3.554 Å; angles 90.00, 90.00, 90.00 degrees
Space group Cmmm (No. 65)
Unique sites:
1 Nd 0.000 0.000 0.000
2 Nd 0.116 0.243 0.000
3 Nd 0.123 0.414 0.000
4 Tm 0.150 0.085 0.000
5 Tl 0.000 0.134 0.500
6 Tl 0.000 0.333 0.500
7 Tl 0.000 0.500 0.500
8 Tl 0.244 0.500 0.500
9 Tl 0.245 0.326 0.500

Properties
Density of states at the Fermi level in states/eV per cell: 47.45
Energy of formation from the pure elements in eV per atom: -0.290

=====

[7]
Computed, not measured: a relaxed Sr6Li15Ga8 crystal at the GGA-PBE level of DFT.

Cell lengths 13.956, 13.956, 13.956 Å; angles 90.00, 90.00, 90.00 degrees
Space group Fm-3m (No. 225)
Unique sites:
1 Sr 0.000 0.000 0.225
2 Li 0.000 0.000 0.500
3 Li 0.000 0.250 0.250
4 Li 0.178 0.178 0.178
5 Ga 0.127 0.127 0.373

Properties
Density of states at the Fermi level in states/eV per cell: 77.82
Energy of formation from the pure elements in eV per atom: -0.184

=====

[8]
Computed, not measured: a relaxed Ba2HoTaS6 crystal at the GGA-PBE level of DFT.

Cell lengths 7.0347, 7.0347, 37.5093 Å; angles 90.00, 90.00, 120.00 degrees
Space group R-3m (No. 166, hexagonal axes)
Unique sites:
1 Ba 0.0000 0.0000 0.1353
2 Ba 0.0000 0.0000 0.3010
3 Ho 0.0000 0.0000 0.4137
4 Ta 0.0000 0.0000 0.0000
5 Ta 0.0000 0.0000 0.5000
6 S 0.0029 0.5014 0.1281
7 S 0.0096 0.5048 0.7045

Properties
Raw formation energy in eV/atom: -1.671

=====

[9]
Computed, not measured: a relaxed Na2PaAu2O6 crystal at the GGA-PBE level of DFT.

Cell lengths 5.7254, 5.7254, 5.8290 Å; angles 90.00, 90.00, 120.00 degrees
Space group P-31m (No. 162)
Unique sites:
1 Na 0.3333 0.6667 0.0000
2 Pa 0.0000 0.0000 0.5000
3 Au 0.3333 0.6667 0.5000
4 O 0.0000 0.3195 0.2823

Properties
Density of states at the Fermi level in states/eV per cell: 5.11
Raw formation energy in eV/atom: -1.362

=====

[10]
Computed, not measured: a relaxed GdHoTl2 crystal at the GGA-PBE level of DFT.

Cell lengths 3.7427, 3.7427, 29.1160 Å; angles 90.00, 90.00, 120.00 degrees
Space group R-3m (No. 166, hexagonal axes)
Unique sites:
1 Gd 0.0000 0.0000 0.0000
2 Ho 0.0000 0.0000 0.5000
3 Tl 0.0000 0.0000 0.2489

Properties
Density of states at the Fermi level in states/eV per cell: 10.16
Energy of formation from the pure elements in eV per atom: -0.262

=====

[11]
Computed, not measured: a relaxed K2Tl2Pt crystal at the GGA-PBE level of DFT.

Cell lengths 7.337, 7.337, 5.995 Å; angles 90.00, 90.00, 90.00 degrees
Space group P4/mbm (No. 127)
Unique sites:
1 K 0.183 0.317 0.000
2 Tl 0.152 0.652 0.500
3 Pt 0.000 0.000 0.500

Properties
Density of states at the Fermi level in states/eV per cell: 3.52
Energy of formation from the pure elements in eV per atom: -0.085

=====

[12]
Computed, not measured: a relaxed NaZrIn2 crystal at the GGA-PBE level of DFT.

Cell lengths 7.224, 7.224, 7.224 Å; angles 90.00, 90.00, 90.00 degrees
Space group Fm-3m (No. 225)
Unique sites:
1 Na 0.000 0.000 0.000
2 Zr 0.000 0.000 0.500
3 In 0.250 0.250 0.250

Properties
Density of states at the Fermi level in states/eV per cell: 13.32
Energy of formation from the pure elements in eV per atom: 0.009

=====

| no. | calculated density (Mg/m³) | total magnetization (Bohr magnetons per cell) |
| --- | --- | --- |
| 1 | 7.55 | 0.00 |
| 2 | 8.61 | 0.00 |
| 3 | 6.50 | 0.00 |
| 4 | 2.20 | 0.00 |
| 5 | 8.99 | 0.00 |
| 6 | 10.02 | 0.48 |
| 7 | 2.90 | 0.00 |
| 8 | 5.04 | 0.00 |
| 9 | 7.70 | 3.04 |
| 10 | 10.31 | 21.47 |
| 11 | 7.02 | 0.00 |
| 12 | 6.06 | 0.00 |